DFT (PBE with a Hubbard U) results for an optimized crystal structure of Sr2Zn2CrO6.

Cell lengths 6.221, 6.221, 6.221 Å; angles 56.04, 56.04, 56.04 degrees
Element x y z (fractional)
1 Sr 0.209 0.209 0.209
2 Sr 0.791 0.791 0.791
3 Zn 0.410 0.410 0.410
4 Zn 0.590 0.590 0.590
5 Cr 0.000 0.000 0.000
6 O 0.219 0.769 0.769
7 O 0.231 0.231 0.781
8 O 0.231 0.781 0.231
9 O 0.769 0.219 0.769
10 O 0.769 0.769 0.219
11 O 0.781 0.231 0.231

total DFT energy (no corrections): -5.721 eV per atom
total magnetic moment: 2.0 Bohr magnetons per cell